## LaY2P (meta-GGA SCAN)

Data for a crystal of LaY2P relaxed with PBEsol.

a b c (Å): 3.6415 5.2201 11.3470
angles (deg): 90.00 90.00 90.00
Fractional coordinates of all 8 atoms:
La (0.0000, 0.0000, 0.0000)
La (0.5000, 0.5000, 0.5000)
Y (0.0000, 0.5000, 0.1872)
Y (0.0000, 0.5000, 0.8128)
Y (0.5000, 0.0000, 0.3128)
Y (0.5000, 0.0000, 0.6872)
P (0.0000, 0.0000, 0.5000)
P (0.5000, 0.5000, 0.0000)

Summary:
As for the magnetization: 0.00 Bohr magnetons per cell. The calculation puts the formation enthalpy at 0 K at -0.715 eV/atom. Its energy above the most stable polymorph in this dataset is 120 meV/atom.

---

## LaY2P (meta-GGA SCAN)

Data for a crystal of LaY2P relaxed with PBEsol.

a b c (Å): 3.7782 3.7782 27.8288
angles (deg): 90.00 90.00 120.00
Fractional coordinates of all 12 atoms:
La (0.0000, 0.0000, 0.0000)
La (0.3333, 0.6667, 0.6667)
La (0.6667, 0.3333, 0.3333)
Y (0.0000, 0.0000, 0.2247)
Y (0.0000, 0.0000, 0.7753)
Y (0.3333, 0.6667, 0.4419)
Y (0.3333, 0.6667, 0.8914)
Y (0.6667, 0.3333, 0.1086)
Y (0.6667, 0.3333, 0.5581)
P (0.0000, 0.0000, 0.5000)
P (0.3333, 0.6667, 0.1667)
P (0.6667, 0.3333, 0.8333)

Summary:
As for the magnetization: 0.03 Bohr magnetons per cell. The calculation puts the formation enthalpy at 0 K at -0.834 eV/atom. Its energy above the most stable polymorph in this dataset is 0 meV/atom.

---

## La2YP (meta-GGA SCAN)

Data for a crystal of La2YP relaxed with PBEsol.

a b c (Å): 3.9254 3.9254 28.3753
angles (deg): 90.00 90.00 120.00
Fractional coordinates of all 12 atoms:
La (0.0000, 0.0000, 0.2287)
La (0.0000, 0.0000, 0.7713)
La (0.3333, 0.6667, 0.4380)
La (0.3333, 0.6667, 0.8953)
La (0.6667, 0.3333, 0.1047)
La (0.6667, 0.3333, 0.5620)
Y (0.0000, 0.0000, 0.0000)
Y (0.3333, 0.6667, 0.6667)
Y (0.6667, 0.3333, 0.3333)
P (0.0000, 0.0000, 0.5000)
P (0.3333, 0.6667, 0.1667)
P (0.6667, 0.3333, 0.8333)

Summary:
As for the magnetization: 6.25 Bohr magnetons per cell. The calculation puts the formation enthalpy at 0 K at -0.739 eV/atom.

---

## LaY2P (meta-GGA SCAN)

Data for a crystal of LaY2P relaxed with PBEsol.

a b c (Å): 7.3496 7.3496 7.3496
angles (deg): 90.00 90.00 90.00
Fractional coordinates of all 16 atoms:
La (0.0000, 0.0000, 0.0000)
La (0.0000, 0.5000, 0.5000)
La (0.5000, 0.0000, 0.5000)
La (0.5000, 0.5000, 0.0000)
Y (0.0000, 0.0000, 0.5000)
Y (0.0000, 0.5000, 0.0000)
Y (0.2500, 0.2500, 0.2500)
Y (0.2500, 0.7500, 0.7500)
Y (0.5000, 0.0000, 0.0000)
Y (0.5000, 0.5000, 0.5000)
Y (0.7500, 0.2500, 0.7500)
Y (0.7500, 0.7500, 0.2500)
P (0.2500, 0.2500, 0.7500)
P (0.2500, 0.7500, 0.2500)
P (0.7500, 0.2500, 0.2500)
P (0.7500, 0.7500, 0.7500)

Summary:
As for the magnetization: 0.00 Bohr magnetons per cell. The calculation puts the formation enthalpy at 0 K at -0.091 eV/atom. Its energy above the most stable polymorph in this dataset is 744 meV/atom.

---

## LaYP2 (meta-GGA SCAN)

Data for a crystal of LaYP2 relaxed with PBEsol.

a b c (Å): 4.0945 4.0945 20.0447
angles (deg): 90.00 90.00 120.00
Fractional coordinates of all 12 atoms:
La (0.0000, 0.0000, 0.0000)
La (0.3333, 0.6667, 0.6667)
La (0.6667, 0.3333, 0.3333)
Y (0.0000, 0.0000, 0.5000)
Y (0.3333, 0.6667, 0.1667)
Y (0.6667, 0.3333, 0.8333)
P (0.0000, 0.0000, 0.2454)
P (0.0000, 0.0000, 0.7546)
P (0.3333, 0.6667, 0.4213)
P (0.3333, 0.6667, 0.9120)
P (0.6667, 0.3333, 0.0880)
P (0.6667, 0.3333, 0.5787)

Summary:
As for the magnetization: 0.00 Bohr magnetons per cell. The calculation puts the formation enthalpy at 0 K at -1.816 eV/atom. Its energy above the most stable polymorph in this dataset is 0 meV/atom.

---

## La2YP2 (meta-GGA SCAN)

Data for a crystal of La2YP2 relaxed with PBEsol.

a b c (Å): 7.7736 7.7736 4.0429
angles (deg): 90.00 90.00 90.00
Fractional coordinates of all 10 atoms:
La (0.1480, 0.3520, 0.0000)
La (0.3520, 0.8520, 0.0000)
La (0.6480, 0.1480, 0.0000)
La (0.8520, 0.6480, 0.0000)
Y (0.0000, 0.0000, 0.5000)
Y (0.5000, 0.5000, 0.5000)
P (0.1597, 0.6597, 0.5000)
P (0.3403, 0.1597, 0.5000)
P (0.6597, 0.8403, 0.5000)
P (0.8403, 0.3403, 0.5000)

Summary:
As for the magnetization: 0.00 Bohr magnetons per cell. The calculation puts the formation enthalpy at 0 K at -1.408 eV/atom.

---

## LaYP2 (meta-GGA SCAN)

Data for a crystal of LaYP2 relaxed with PBEsol.

a b c (Å): 4.1057 4.1057 5.7876
angles (deg): 90.00 90.00 90.00
Fractional coordinates of all 4 atoms:
La (0.0000, 0.0000, 0.0000)
Y (0.5000, 0.5000, 0.5000)
P (0.0000, 0.0000, 0.5000)
P (0.5000, 0.5000, 0.0000)

Summary:
As for the magnetization: 0.00 Bohr magnetons per cell. The calculation puts the formation enthalpy at 0 K at -1.778 eV/atom. Its energy above the most stable polymorph in this dataset is 38 meV/atom.

---

## LaY2P (meta-GGA SCAN)

Data for a crystal of LaY2P relaxed with PBEsol.

a b c (Å): 6.1924 10.8792 4.3850
angles (deg): 90.00 134.69 90.00
Fractional coordinates of all 8 atoms:
La (0.0000, 0.0000, 0.0000)
La (0.5000, 0.5000, 0.0000)
Y (0.2500, 0.2500, 0.5000)
Y (0.2500, 0.7500, 0.5000)
Y (0.7500, 0.2500, 0.5000)
Y (0.7500, 0.7500, 0.5000)
P (0.0000, 0.5000, 0.0000)
P (0.5000, 0.0000, 0.0000)

Summary:
As for the magnetization: 0.00 Bohr magnetons per cell. The calculation puts the formation enthalpy at 0 K at -0.280 eV/atom. Its energy above the most stable polymorph in this dataset is 554 meV/atom.